Entry from the Alexandria database: an optimized crystal structure of Mg4InNi (PBE).

E_tot: -53.6 eV/cell
Formation energy from the elements: 0.2502 eV/atom
V: 20.7 Å³/atom

The structure in CIF format:
```
data_Mg4InNi
_chemical_formula_sum 'Mg16 In4 Ni4'
_cell_length_a 7.917
_cell_length_b 7.917
_cell_length_c 7.917
_cell_angle_alpha 90.00
_cell_angle_beta 90.00
_cell_angle_gamma 90.00
_symmetry_space_group_name_H-M 'F -4 3 m'
_symmetry_Int_Tables_number 216
_symmetry_space_group_name_Hall 'F -4 2 3'
loop_
_atom_site_label
_atom_site_fract_x
_atom_site_fract_y
_atom_site_fract_z
Mg1 0.124 0.124 0.124
In1 0.000 0.000 0.500
Ni1 0.250 0.250 0.750
```

Entry from the Alexandria database: an optimized crystal structure of NaYLuIn (PBE).

E_tot: -61.9 eV/cell
Formation energy from the elements: -0.1096 eV/atom
V: 27.0 Å³/atom

The structure in CIF format:
```
data_NaYLuIn
_chemical_formula_sum 'Na4 Y4 Lu4 In4'
_cell_length_a 7.564
_cell_length_b 7.564
_cell_length_c 7.564
_cell_angle_alpha 90.00
_cell_angle_beta 90.00
_cell_angle_gamma 90.00
_symmetry_space_group_name_H-M 'F -4 3 m'
_symmetry_Int_Tables_number 216
_symmetry_space_group_name_Hall 'F -4 2 3'
loop_
_atom_site_label
_atom_site_fract_x
_atom_site_fract_y
_atom_site_fract_z
Na1 0.000 0.000 0.000
Y1 0.250 0.250 0.250
Lu1 0.250 0.250 0.750
In1 0.000 0.000 0.500
```

Entry from the Alexandria database: an optimized crystal structure of Dy4Sn2Au (PBE).

E_tot: -68.4 eV/cell
Formation energy from the elements: -0.6409 eV/atom
V: 28.0 Å³/atom

The structure in CIF format:
```
data_Dy4Sn2Au
_chemical_formula_sum 'Dy8 Sn4 Au2'
_cell_length_a 11.390
_cell_length_b 4.623
_cell_length_c 8.735
_cell_angle_alpha 90.00
_cell_angle_beta 121.45
_cell_angle_gamma 90.00
_symmetry_space_group_name_H-M 'C 1 2/m 1'
_symmetry_Int_Tables_number 12
loop_
_symmetry_equiv_pos_as_xyz
'x,y,z'
'-x,-y,-z'
'-x,y,-z'
'x,-y,z'
'x+1/2,y+1/2,z'
'-x+1/2,-y+1/2,-z'
'-x+1/2,y+1/2,-z'
'x+1/2,-y+1/2,z'
loop_
_atom_site_label
_atom_site_fract_x
_atom_site_fract_y
_atom_site_fract_z
Dy1 0.079 0.000 0.370
Dy2 0.178 0.500 0.070
Sn1 0.146 0.500 0.660
Au1 0.000 0.000 0.000
```

Entry from the Alexandria database: an optimized crystal structure of AlVH3 (PBE).

E_tot: -22.4 eV/cell
V: 7.6 Å³/atom

The structure in CIF format:
```
data_AlVH3
_chemical_formula_sum 'Al1 V1 H3'
_cell_length_a 3.365
_cell_length_b 3.365
_cell_length_c 3.365
_cell_angle_alpha 90.00
_cell_angle_beta 90.00
_cell_angle_gamma 90.00
_symmetry_space_group_name_H-M 'P m -3 m'
_symmetry_Int_Tables_number 221
_symmetry_space_group_name_Hall '-P 4 2 3'
loop_
_atom_site_label
_atom_site_fract_x
_atom_site_fract_y
_atom_site_fract_z
Al1 0.000 0.000 0.000
V1 0.500 0.500 0.500
H1 0.000 0.500 0.500
```

Look up the V of the third one.
28.0 Å³/atom

Repeat the third record exactly.
Entry from the Alexandria database: an optimized crystal structure of Dy4Sn2Au (PBE).

E_tot: -68.4 eV/cell
Formation energy from the elements: -0.6409 eV/atom
V: 28.0 Å³/atom

The structure in CIF format:
```
data_Dy4Sn2Au
_chemical_formula_sum 'Dy8 Sn4 Au2'
_cell_length_a 11.390
_cell_length_b 4.623
_cell_length_c 8.735
_cell_angle_alpha 90.00
_cell_angle_beta 121.45
_cell_angle_gamma 90.00
_symmetry_space_group_name_H-M 'C 1 2/m 1'
_symmetry_Int_Tables_number 12
loop_
_symmetry_equiv_pos_as_xyz
'x,y,z'
'-x,-y,-z'
'-x,y,-z'
'x,-y,z'
'x+1/2,y+1/2,z'
'-x+1/2,-y+1/2,-z'
'-x+1/2,y+1/2,-z'
'x+1/2,-y+1/2,z'
loop_
_atom_site_label
_atom_site_fract_x
_atom_site_fract_y
_atom_site_fract_z
Dy1 0.079 0.000 0.370
Dy2 0.178 0.500 0.070
Sn1 0.146 0.500 0.660
Au1 0.000 0.000 0.000
```

What is the E_tot in the third record?
-68.4 eV/cell

Please write out number 1 again, unchanged.
Entry from the Alexandria database: an optimized crystal structure of Mg4InNi (PBE).

E_tot: -53.6 eV/cell
Formation energy from the elements: 0.2502 eV/atom
V: 20.7 Å³/atom

The structure in CIF format:
```
data_Mg4InNi
_chemical_formula_sum 'Mg16 In4 Ni4'
_cell_length_a 7.917
_cell_length_b 7.917
_cell_length_c 7.917
_cell_angle_alpha 90.00
_cell_angle_beta 90.00
_cell_angle_gamma 90.00
_symmetry_space_group_name_H-M 'F -4 3 m'
_symmetry_Int_Tables_number 216
_symmetry_space_group_name_Hall 'F -4 2 3'
loop_
_atom_site_label
_atom_site_fract_x
_atom_site_fract_y
_atom_site_fract_z
Mg1 0.124 0.124 0.124
In1 0.000 0.000 0.500
Ni1 0.250 0.250 0.750
```